# Ba3MoP | the Alexandria database | PBE-GGA | relaxed
data_Ba3MoP
_space_group_name_H-M_alt 'P m -3 m'
_space_group_IT_number 221
_space_group_name_Hall '-P 4 2 3'
_cell_length_a 6.227
_cell_length_b 6.227
_cell_length_c 6.227
_cell_angle_alpha 90.00
_cell_angle_beta 90.00
_cell_angle_gamma 90.00
loop_
_atom_site_label
_atom_site_type_symbol
_atom_site_fract_x
_atom_site_fract_y
_atom_site_fract_z
_atom_site_occupancy
Ba1 Ba 0.000 0.000 0.500 1
Mo1 Mo 0.500 0.500 0.500 1
P1 P 0.000 0.000 0.000 1
# Volume   48.28 A^3/atom
# Energy   -0.2952 Ry per atom
# Theoretical density   3.7 g cm⁻³
# Distance to the lowest polymorph of the same formula   0.000 eV/atom